Record 1
Computed, not measured: crystalline GdN at its relaxed geometry at the PBE level of DFT.

## Properties
Its symmetry is P-6m2, No. 187. The total magnetization comes out at 0.00 μB per formula unit. The final energy is -15.349 eV/f.u. Its crystal system is hexagonal.

Lattice parameters (Å, degrees): 3.381 3.381 3.078 90.00 90.00 120.00
Fractional positions:
Gd: 0.667 0.333 0.750
N: 0.333 0.667 0.250



Record 2
Computed, not measured: crystalline GdNb2N3 at its relaxed geometry at the PBE level of DFT.

## Properties
Its symmetry is P-3m1, No. 164. The total magnetization comes out at 0.00 μB per formula unit. The final energy is -56.719 eV/f.u. Its crystal system is trigonal.

Lattice parameters (Å, degrees): 3.242 3.242 7.922 90.00 90.00 120.00
Fractional positions:
N: 0.667 0.333 0.692
N: 0.333 0.667 0.308
N: 0.000 0.000 0.000
Gd: 0.000 0.000 0.500
Nb: 0.667 0.333 0.152
Nb: 0.333 0.667 0.848



Record 3
Computed, not measured: crystalline GdNbN2 at its relaxed geometry at the PBE level of DFT.

## Properties
Its symmetry is P4/mmm, No. 123. The total magnetization comes out at 0.01 μB per formula unit. The final energy is -35.861 eV/f.u. Its crystal system is tetragonal.

Lattice parameters (Å, degrees): 3.317 3.317 4.655 90.00 90.00 90.00
Fractional positions:
Gd: 0.000 0.000 0.000
N: 0.000 0.000 0.500
N: 0.500 0.500 0.000
Nb: 0.500 0.500 0.500



Record 4
Computed, not measured: crystalline Gd2NbN3 at its relaxed geometry at the PBE level of DFT.

## Properties
Its symmetry is P-3m1, No. 164. The total magnetization comes out at 0.00 μB per formula unit. The final energy is -52.695 eV/f.u. Its crystal system is trigonal.

Lattice parameters (Å, degrees): 3.354 3.354 8.254 90.00 90.00 120.00
Fractional positions:
N: 0.000 0.000 0.000
N: 0.333 0.667 0.357
N: 0.667 0.333 0.643
Nb: 0.000 0.000 0.500
Gd: 0.667 0.333 0.176
Gd: 0.333 0.667 0.824



Record 5
Computed, not measured: crystalline Nd2GdNb2N6 at its relaxed geometry at the PBE level of DFT.

## Properties
Its symmetry is I4/mmm, No. 139. The total magnetization comes out at 0.00 μB per formula unit. The final energy is -97.931 eV/f.u. Its crystal system is tetragonal.

Lattice parameters (Å, degrees): 10.141 10.141 10.141 157.06 157.06 32.67
Fractional positions:
N: 0.700 0.700 0.000
N: 0.580 0.080 0.500
N: 0.080 0.580 0.500
N: 0.300 0.300 0.000
N: 0.420 0.920 0.500
N: 0.920 0.420 0.500
Nd: 0.179 0.179 0.000
Nd: 0.821 0.821 0.000
Nb: 0.599 0.599 0.000
Nb: 0.401 0.401 0.000
Gd: 0.000 0.000 0.000



Record 6
Computed, not measured: crystalline GdNbN2O at its relaxed geometry at the PBE level of DFT.

## Properties
Its symmetry is Pmm2, No. 25. The total magnetization comes out at 0.00 μB per formula unit. The final energy is -44.727 eV/f.u. Its crystal system is orthorhombic.

Lattice parameters (Å, degrees): 3.862 3.750 4.754 90.00 90.05 90.00
Fractional positions:
N: 0.000 0.500 0.430
N: 0.501 0.500 0.951
O: 0.500 0.000 0.399
Nb: 0.500 0.500 0.559
Gd: 0.000 0.000 0.121



Record 7
Computed, not measured: crystalline GdNbN2O at its relaxed geometry at the PBE level of DFT.

## Properties
Its symmetry is P1, No. 1. The total magnetization comes out at 0.00 μB per formula unit. The final energy is -45.305 eV/f.u. Its crystal system is triclinic.

Lattice parameters (Å, degrees): 7.939 7.946 8.045 87.87 89.94 89.86
Fractional positions:
N: 0.446 0.001 0.229
N: 0.052 0.194 0.530
N: 0.944 0.293 0.031
N: 0.752 0.789 0.217
N: 0.548 0.792 0.533
N: 0.059 0.708 0.032
N: 0.251 0.322 0.241
N: 0.951 0.804 0.531
N: 0.946 0.499 0.329
N: 0.439 0.698 0.034
N: 0.558 0.301 0.027
N: 0.247 0.210 0.841
N: 0.555 0.999 0.829
N: 0.452 0.206 0.529
N: 0.749 0.678 0.813
N: 0.055 0.500 0.729
Gd: 0.749 0.026 0.553
Gd: 0.747 0.536 0.543
Gd: 0.749 0.519 0.060
Gd: 0.751 0.045 0.045
Gd: 0.250 0.973 0.493
Gd: 0.250 0.479 0.983
Gd: 0.247 0.958 0.005
Gd: 0.254 0.466 0.507
O: 0.755 0.170 0.309
O: 0.431 0.501 0.733
O: 0.246 0.829 0.746
O: 0.565 0.496 0.328
O: 0.935 0.001 0.830
O: 0.252 0.713 0.358
O: 0.750 0.288 0.701
O: 0.070 0.998 0.233
Nb: 0.993 0.742 0.764
Nb: 0.996 0.744 0.264
Nb: 0.486 0.250 0.259
Nb: 0.011 0.250 0.758
Nb: 0.516 0.758 0.773
Nb: 0.505 0.761 0.259
Nb: 0.003 0.266 0.265
Nb: 0.485 0.234 0.769



Record 8
Computed, not measured: crystalline GdNbN2O at its relaxed geometry at the PBE level of DFT.

## Properties
Its symmetry is P1, No. 1. The total magnetization comes out at 0.00 μB per formula unit. The final energy is -45.389 eV/f.u. Its crystal system is triclinic.

Lattice parameters (Å, degrees): 5.557 9.819 9.820 71.97 89.98 89.91
Fractional positions:
Nb: 0.517 0.265 0.736
Nb: 0.484 0.008 0.510
Nb: 0.018 0.736 0.764
Nb: 0.986 0.009 0.007
Nb: 0.533 0.508 0.998
Nb: 0.027 0.251 0.246
Nb: 0.033 0.500 0.510
Nb: 0.529 0.745 0.250
N: 0.698 0.928 0.127
N: 0.793 0.173 0.879
N: 0.103 0.107 0.141
N: 0.792 0.368 0.076
N: 0.195 0.628 0.928
N: 0.191 0.319 0.626
N: 0.293 0.878 0.675
N: 0.694 0.621 0.819
N: 0.295 0.574 0.371
N: 0.294 0.376 0.176
N: 0.194 0.127 0.429
N: 0.692 0.429 0.629
N: 0.604 0.641 0.109
N: 0.796 0.677 0.375
N: 0.102 0.609 0.642
N: 0.601 0.142 0.607
Gd: 0.484 0.852 0.903
Gd: 0.523 0.663 0.590
Gd: 0.521 0.159 0.097
Gd: 0.984 0.904 0.353
Gd: 0.016 0.093 0.662
Gd: 0.027 0.595 0.161
Gd: 0.995 0.398 0.851
Gd: 0.497 0.352 0.398
O: 0.385 0.348 0.898
O: 0.381 0.856 0.390
O: 0.193 0.821 0.111
O: 0.691 0.116 0.321
O: 0.286 0.064 0.870
O: 0.787 0.871 0.563
O: 0.878 0.894 0.850
O: 0.887 0.394 0.354